Record 1
# Cs3Ag5Br12 | Alexandria via LeMat-Bulk | PBE-GGA | relaxed
# DOS at the Fermi energy = 128.26 states/eV/cell
# E_form (uncorrected) = -15.58 kcal/mol of atoms
# DFT total energy = -403.24 eV for the cell shown
data_Cs3Ag5Br12
_space_group_name_H-M_alt 'I a -3 d'
_space_group_IT_number 230
_space_group_name_Hall '-I 4bd 2c 3'
_cell_length_a 18.073
_cell_length_b 18.073
_cell_length_c 18.073
_cell_angle_alpha 90.00
_cell_angle_beta 90.00
_cell_angle_gamma 90.00
loop_
_atom_site_label
_atom_site_type_symbol
_atom_site_fract_x
_atom_site_fract_y
_atom_site_fract_z
_atom_site_occupancy
Cs1 Cs 0.000 0.250 0.125 1
Ag1 Ag 0.000 0.000 0.000 1
Ag2 Ag 0.000 0.250 0.375 1
Br1 Br 0.036 0.044 0.642 1


Record 2
# Ho5Tl2Fe2 | Alexandria via LeMat-Bulk | PBE-GGA | relaxed
# DOS at the Fermi energy = 37.18 states/eV/cell
# DFT total energy = -183.64 eV for the cell shown
data_Ho5Tl2Fe2
_space_group_name_H-M_alt 'C m c e'
_space_group_IT_number 64
_space_group_name_Hall '-C 2ac 2'
_cell_length_a 16.916
_cell_length_b 7.265
_cell_length_c 7.276
_cell_angle_alpha 90.00
_cell_angle_beta 90.00
_cell_angle_gamma 90.00
loop_
_atom_site_label
_atom_site_type_symbol
_atom_site_fract_x
_atom_site_fract_y
_atom_site_fract_z
_atom_site_occupancy
Ho1 Ho 0.000 0.000 0.000 1
Ho2 Ho 0.117 0.183 0.320 1
Tl1 Tl 0.228 0.000 0.000 1
Fe1 Fe 0.000 0.106 0.607 1


Record 3
# NiBiH2 | Alexandria via LeMat-Bulk | PBE-GGA | relaxed
# DOS at the Fermi energy = 5.46 states/eV/cell
# energy relative to the lowest polymorph listed for this composition = 0.000 eV/atom
# DFT total energy = -61.75 eV for the cell shown
data_NiBiH2
_space_group_name_H-M_alt 'I 41/a m d'
_space_group_IT_number 141
_cell_length_a 4.601
_cell_length_b 4.601
_cell_length_c 9.231
_cell_angle_alpha 90.00
_cell_angle_beta 90.00
_cell_angle_gamma 90.00
loop_
_space_group_symop_operation_xyz
'x,y,z'
'-x,-y,-z'
'-y+1/4,x+3/4,z+1/4'
'y+1/4,-x+3/4,-z+1/4'
'-x+1/2,-y,z+1/2'
'x+1/2,y,-z+1/2'
'y+1/4,-x+1/4,z+3/4'
'-y+1/4,x+1/4,-z+3/4'
'x,-y,-z'
'-x,y,z'
'-y+1/4,-x+1/4,-z+3/4'
'y+1/4,x+1/4,z+3/4'
'-x+1/2,y,-z+1/2'
'x+1/2,-y,z+1/2'
'y+1/4,x+3/4,-z+1/4'
'-y+1/4,-x+3/4,z+1/4'
'x+1/2,y+1/2,z+1/2'
'-x+1/2,-y+1/2,-z+1/2'
'-y+3/4,x+1/4,z+3/4'
'y+3/4,-x+1/4,-z+3/4'
'-x,-y+1/2,z'
'x,y+1/2,-z'
'y+3/4,-x+3/4,z+1/4'
'-y+3/4,x+3/4,-z+1/4'
'x+1/2,-y+1/2,-z+1/2'
'-x+1/2,y+1/2,z+1/2'
'-y+3/4,-x+3/4,-z+1/4'
'y+3/4,x+3/4,z+1/4'
'-x,y+1/2,-z'
'x,-y+1/2,z'
'y+3/4,x+1/4,-z+3/4'
'-y+3/4,-x+1/4,z+3/4'
loop_
_atom_site_label
_atom_site_type_symbol
_atom_site_fract_x
_atom_site_fract_y
_atom_site_fract_z
_atom_site_occupancy
Ni1 Ni 0.000 0.250 0.375 1
Bi1 Bi 0.000 0.250 0.875 1
H1 H 0.000 0.000 0.500 1


Record 4
# BiI2NCl | Alexandria via LeMat-Bulk | PBE-GGA | relaxed
# DOS at the Fermi energy = 5.98 states/eV/cell
# E_form (uncorrected) = 18.27 kcal/mol of atoms
# energy relative to the lowest polymorph listed for this composition = 0.113 eV/atom
# DFT total energy = -13.19 eV for the cell shown
data_BiI2NCl
_space_group_name_H-M_alt 'P 4/m m m'
_space_group_IT_number 123
_space_group_name_Hall '-P 4 2'
_cell_length_a 6.140
_cell_length_b 6.140
_cell_length_c 4.755
_cell_angle_alpha 90.00
_cell_angle_beta 90.00
_cell_angle_gamma 90.00
loop_
_atom_site_label
_atom_site_type_symbol
_atom_site_fract_x
_atom_site_fract_y
_atom_site_fract_z
_atom_site_occupancy
Bi1 Bi 0.000 0.000 0.000 1
I1 I 0.000 0.500 0.000 1
N1 N 0.000 0.000 0.500 1
Cl1 Cl 0.500 0.500 0.500 1


Record 5
# Rb2Na2Mn | Alexandria via LeMat-Bulk | PBE-GGA | relaxed
# DOS at the Fermi energy = 7.78 states/eV/cell
# DFT total energy = -19.88 eV for the cell shown
data_Rb2Na2Mn
_space_group_name_H-M_alt 'I 4/m m m'
_space_group_IT_number 139
_space_group_name_Hall '-I 4 2'
_cell_length_a 5.797
_cell_length_b 5.797
_cell_length_c 16.725
_cell_angle_alpha 90.00
_cell_angle_beta 90.00
_cell_angle_gamma 90.00
loop_
_atom_site_label
_atom_site_type_symbol
_atom_site_fract_x
_atom_site_fract_y
_atom_site_fract_z
_atom_site_occupancy
Rb1 Rb 0.000 0.500 0.250 1
Na1 Na 0.000 0.000 0.088 1
Mn1 Mn 0.000 0.000 0.500 1


Record 6
# Zr5ZnCd | Alexandria via LeMat-Bulk | PBE-GGA | relaxed
# DOS at the Fermi energy = 21.96 states/eV/cell
# DFT total energy = -175.39 eV for the cell shown
data_Zr5ZnCd
_space_group_name_H-M_alt 'C 1 2/c 1'
_space_group_IT_number 15
_cell_length_a 10.442
_cell_length_b 5.923
_cell_length_c 11.535
_cell_angle_alpha 90.00
_cell_angle_beta 116.50
_cell_angle_gamma 90.00
loop_
_space_group_symop_operation_xyz
'x,y,z'
'-x,-y,-z'
'-x,y,-z+1/2'
'x,-y,z+1/2'
'x+1/2,y+1/2,z'
'-x+1/2,-y+1/2,-z'
'-x+1/2,y+1/2,-z+1/2'
'x+1/2,-y+1/2,z+1/2'
loop_
_atom_site_label
_atom_site_type_symbol
_atom_site_fract_x
_atom_site_fract_y
_atom_site_fract_z
_atom_site_occupancy
Zr1 Zr 0.000 0.094 0.250 1
Zr2 Zr 0.076 0.238 0.011 1
Zr3 Zr 0.219 0.122 0.719 1
Zn1 Zn 0.250 0.250 0.500 1
Cd1 Cd 0.000 0.420 0.750 1